Material: Dy2Ge5Ir3
Method: DFT, GGA-PBEsol
State: optimized geometry

Values from the calculation:
**Energy of formation from the pure elements**: -7.578 eV/f.u.
**M_tot**: 0.00 μB per cell

a b c (Å): 5.9342 8.2863 8.2863
angles (deg): 75.83 69.02 69.02
Sites, in units of the cell vectors:
Ir 0.3575 0.5311 0.7540
Ir 0.1425 0.2460 0.4689
Dy 0.8655 0.4096 0.8594
Ir 0.6425 0.4689 0.2460
Ge 0.7500 0.5000 0.5000
Ge 0.4024 0.2604 0.9349
Ge 0.5276 0.2224 0.2224
Ge 0.0276 0.2224 0.2224
Ge 0.2500 0.5000 0.5000
Ge 0.0976 0.0651 0.7396
Dy 0.6345 0.1406 0.5904
Ge 0.5976 0.7396 0.0651
Ge 0.4724 0.7776 0.7776
Ge 0.9724 0.7776 0.7776
Dy 0.1345 0.5904 0.1406
Ge 0.9024 0.9349 0.2604
Ir 0.7500 0.0000 0.0000
Ir 0.8575 0.7540 0.5311
Dy 0.3655 0.8594 0.4096
Ir 0.2500 0.0000 0.0000



Material: LiDyGe
Method: DFT, GGA-PBEsol
State: optimized geometry

Values from the calculation:
**Energy of formation from the pure elements**: -2.224 eV/f.u.
**M_tot**: 0.00 μB per cell

a b c (Å): 4.2188 6.9502 6.9502
angles (deg): 120.00 90.00 90.00
Sites, in units of the cell vectors:
Li 0.5000 0.7673 0.0000
Ge 0.5000 0.3333 0.6667
Ge 0.5000 0.6667 0.3333
Dy 0.0000 0.0000 0.4264
Dy 0.0000 0.5736 0.5736
Li 0.5000 0.2327 0.2327
Dy 0.0000 0.4264 0.0000
Li 0.5000 0.0000 0.7673
Ge 0.0000 0.0000 0.0000



Material: Dy2MgGe2
Method: DFT, GGA-PBEsol
State: optimized geometry

Values from the calculation:
**Energy of formation from the pure elements**: -4.136 eV/f.u.
**M_tot**: 0.00 μB per cell

a b c (Å): 4.1757 7.1865 7.1865
angles (deg): 90.00 90.00 90.00
Sites, in units of the cell vectors:
Dy 0.5000 0.1771 0.3229
Ge 0.0000 0.6234 0.8766
Ge 0.0000 0.8766 0.3766
Mg 0.0000 0.5000 0.5000
Dy 0.5000 0.3229 0.8229
Dy 0.5000 0.8229 0.6771
Dy 0.5000 0.6771 0.1771
Ge 0.0000 0.3766 0.1234
Mg 0.0000 0.0000 0.0000
Ge 0.0000 0.1234 0.6234



Material: Dy6MgGe2S14
Method: DFT, GGA-PBEsol
State: optimized geometry

Values from the calculation:
**Formation energy without anion corrections**: -1.632 eV/atom
**M_tot**: 0.00 μB per cell

a b c (Å): 5.6344 9.7526 9.7526
angles (deg): 120.00 90.00 90.00
Sites, in units of the cell vectors:
S 0.7178 0.8427 0.7460
Mg 0.4774 0.0000 0.0000
S 0.5000 0.0955 0.5163
Dy 0.2499 0.8682 0.2268
S 0.7178 0.2540 0.0967
S 0.9940 0.9041 0.4839
Dy 0.2499 0.7732 0.6414
S 0.2331 0.0944 0.8404
S 0.9940 0.5161 0.4202
S 0.4443 0.6667 0.3333
S 0.9518 0.3333 0.6667
S 0.7178 0.9033 0.1573
Dy 0.7561 0.1320 0.7746
S 0.9940 0.5798 0.0959
Dy 0.2499 0.3586 0.1318
Ge 0.3385 0.3333 0.6667
Dy 0.7561 0.6425 0.8680
S 0.5000 0.4837 0.5793
S 0.2331 0.1596 0.2540
S 0.2331 0.7460 0.9056
Dy 0.7561 0.2254 0.3575
S 0.5000 0.4207 0.9045
Ge 0.8300 0.6667 0.3333



Material: Dy2Nb3Ge4
Method: DFT, GGA-PBEsol
State: optimized geometry

Values from the calculation:
**Energy of formation from the pure elements**: -7.360 eV/f.u.
**M_tot**: 0.00 μB per cell

a b c (Å): 6.9338 7.1085 13.4229
angles (deg): 90.00 90.00 90.00
Sites, in units of the cell vectors:
Ge 0.3261 0.9616 0.9584
Dy 0.4973 0.3265 0.5949
Nb 0.8355 0.5119 0.7500
Dy 0.9973 0.1735 0.5949
Ge 0.6739 0.0384 0.0415
Nb 0.1597 0.6714 0.8733
Nb 0.8403 0.3286 0.1267
Ge 0.9604 0.8798 0.7500
Ge 0.0396 0.1202 0.2500
Nb 0.6597 0.8286 0.8733
Nb 0.6597 0.8286 0.6267
Ge 0.4604 0.6202 0.7500
Ge 0.3261 0.9616 0.5416
Dy 0.9973 0.1735 0.9051
Ge 0.8047 0.6385 0.2500
Nb 0.1597 0.6714 0.6267
Nb 0.6645 0.0119 0.2500
Ge 0.5396 0.3798 0.2500
Nb 0.8403 0.3286 0.3733
Ge 0.1739 0.4616 0.4584
Nb 0.1645 0.4881 0.2500
Ge 0.6953 0.1385 0.7500
Dy 0.5027 0.6735 0.0949
Dy 0.5027 0.6735 0.4051
Ge 0.8261 0.5384 0.9584
Ge 0.8261 0.5384 0.5416
Nb 0.3403 0.1714 0.3733
Ge 0.3047 0.8615 0.2500
Ge 0.6739 0.0384 0.4584
Dy 0.0027 0.8265 0.0949
Nb 0.3355 0.9881 0.7500
Dy 0.4973 0.3265 0.9051
Ge 0.1953 0.3615 0.7500
Dy 0.0027 0.8265 0.4051
Nb 0.3403 0.1714 0.1267
Ge 0.1739 0.4616 0.0415



Material: Dy2Ge2O7
Method: DFT, GGA-PBEsol
State: optimized geometry

Values from the calculation:
**Distance to the lowest polymorph of the same formula**: 0.053 eV per atom
**Formation energy without anion corrections**: -2.642 eV/atom
**M_tot**: 0.00 μB per cell

a b c (Å): 4.9535 5.7347 5.7347
angles (deg): 105.28 97.31 97.31
Sites, in units of the cell vectors:
Dy 0.0000 0.3094 0.6906
O 0.7247 0.4043 0.3972
O 0.2124 0.4066 0.0782
O 0.2120 0.0849 0.3927
O 0.7880 0.6073 0.9151
O 0.7876 0.9218 0.5934
O 0.2753 0.6028 0.5957
Ge 0.5911 0.7752 0.7647
Dy 0.0000 0.6985 0.3015
Ge 0.4089 0.2353 0.2248
O 0.5000 0.0147 0.9853



> M_tot of number 4 (Dy6MgGe2S14)?

0.00 μB per cell